(w)
The following is a DFT calculation (PBE) of an optimized crystal structure of Cu2SnHgTe2Se2.

Geometry as CIF:
```
data_Cu2SnHgTe2Se2
_chemical_formula_sum 'Cu8 Sn4 Hg4 Te8 Se8'
_cell_length_a 8.629
_cell_length_b 8.671
_cell_length_c 11.986
_cell_angle_alpha 90.00
_cell_angle_beta 90.00
_cell_angle_gamma 90.00
_space_group_name_H-M_alt 'F m m 2'
_space_group_IT_number 42
_space_group_name_Hall 'F 2 -2'
loop_
_atom_site_label
_atom_site_type_symbol
_atom_site_fract_x
_atom_site_fract_y
_atom_site_fract_z
_atom_site_occupancy
Cu1 Cu 0.250 0.250 0.000 1
Sn1 Sn 0.000 0.000 0.269 1
Hg1 Hg 0.000 0.000 0.766 1
Te1 Te 0.246 0.000 0.115 1
Se1 Se 0.000 0.244 0.402 1
```

***

(x)
The following is a DFT calculation (PBE) of an optimized crystal structure of Cu2SnHgTe2Se2.

Geometry as CIF:
```
data_Cu2SnHgTe2Se2
_chemical_formula_sum 'Cu4 Sn2 Hg2 Te4 Se4'
_cell_length_a 13.424
_cell_length_b 6.109
_cell_length_c 6.105
_cell_angle_alpha 90.00
_cell_angle_beta 116.68
_cell_angle_gamma 90.00
_space_group_name_H-M_alt 'C 1 2 1'
_space_group_IT_number 5
loop_
_space_group_symop_operation_xyz
'x,y,z'
'-x,y,-z'
'x+1/2,y+1/2,z'
'-x+1/2,y+1/2,-z'
loop_
_atom_site_label
_atom_site_type_symbol
_atom_site_fract_x
_atom_site_fract_y
_atom_site_fract_z
_atom_site_occupancy
Cu1 Cu 0.250 0.000 0.226 1
Sn1 Sn 0.000 0.524 0.000 1
Hg1 Hg 0.000 0.986 0.500 1
Te1 Te 0.145 0.255 0.390 1
Se1 Se 0.142 0.747 0.896 1
```

***

Which structure loses on stability? (w) does.

***

(w)
The following is a DFT calculation (PBE) of an optimized crystal structure of YCuSiHg.

Geometry as CIF:
```
data_YCuSiHg
_chemical_formula_sum 'Y4 Cu4 Si4 Hg4'
_cell_length_a 6.804
_cell_length_b 6.804
_cell_length_c 6.804
_cell_angle_alpha 90.00
_cell_angle_beta 90.00
_cell_angle_gamma 90.00
_space_group_name_H-M_alt 'F -4 3 m'
_space_group_IT_number 216
_space_group_name_Hall 'F -4 2 3'
loop_
_atom_site_label
_atom_site_type_symbol
_atom_site_fract_x
_atom_site_fract_y
_atom_site_fract_z
_atom_site_occupancy
Y1 Y 0.000 0.000 0.000 1
Cu1 Cu 0.000 0.000 0.500 1
Si1 Si 0.250 0.250 0.250 1
Hg1 Hg 0.250 0.250 0.750 1
```

***

(x)
The following is a DFT calculation (PBE) of an optimized crystal structure of YCuSiHg.

Geometry as CIF:
```
data_YCuSiHg
_chemical_formula_sum 'Y4 Cu4 Si4 Hg4'
_cell_length_a 6.795
_cell_length_b 6.795
_cell_length_c 6.795
_cell_angle_alpha 90.00
_cell_angle_beta 90.00
_cell_angle_gamma 90.00
_space_group_name_H-M_alt 'F -4 3 m'
_space_group_IT_number 216
_space_group_name_Hall 'F -4 2 3'
loop_
_atom_site_label
_atom_site_type_symbol
_atom_site_fract_x
_atom_site_fract_y
_atom_site_fract_z
_atom_site_occupancy
Y1 Y 0.000 0.000 0.000 1
Cu1 Cu 0.250 0.250 0.750 1
Si1 Si 0.000 0.000 0.500 1
Hg1 Hg 0.250 0.250 0.250 1
```

***

Which structure loses on stability? (x) does.

***

(w)
The following is a DFT calculation (PBE) of an optimized crystal structure of ZrCuSiHg.

Geometry as CIF:
```
data_ZrCuSiHg
_chemical_formula_sum 'Zr4 Cu4 Si4 Hg4'
_cell_length_a 6.615
_cell_length_b 6.615
_cell_length_c 6.615
_cell_angle_alpha 90.00
_cell_angle_beta 90.00
_cell_angle_gamma 90.00
_space_group_name_H-M_alt 'F -4 3 m'
_space_group_IT_number 216
_space_group_name_Hall 'F -4 2 3'
loop_
_atom_site_label
_atom_site_type_symbol
_atom_site_fract_x
_atom_site_fract_y
_atom_site_fract_z
_atom_site_occupancy
Zr1 Zr 0.000 0.000 0.000 1
Cu1 Cu 0.250 0.250 0.750 1
Si1 Si 0.000 0.000 0.500 1
Hg1 Hg 0.250 0.250 0.250 1
```

***

(x)
The following is a DFT calculation (PBE) of an optimized crystal structure of ZrCuSiHg.

Geometry as CIF:
```
data_ZrCuSiHg
_chemical_formula_sum 'Zr4 Cu4 Si4 Hg4'
_cell_length_a 6.573
_cell_length_b 6.573
_cell_length_c 6.573
_cell_angle_alpha 90.00
_cell_angle_beta 90.00
_cell_angle_gamma 90.00
_space_group_name_H-M_alt 'F -4 3 m'
_space_group_IT_number 216
_space_group_name_Hall 'F -4 2 3'
loop_
_atom_site_label
_atom_site_type_symbol
_atom_site_fract_x
_atom_site_fract_y
_atom_site_fract_z
_atom_site_occupancy
Zr1 Zr 0.000 0.000 0.000 1
Cu1 Cu 0.000 0.000 0.500 1
Si1 Si 0.250 0.250 0.250 1
Hg1 Hg 0.250 0.250 0.750 1
```

***

Which structure loses on stability? (w) does.

***

(w)
The following is a DFT calculation (PBE) of an optimized crystal structure of ZrCuSnHg.

Geometry as CIF:
```
data_ZrCuSnHg
_chemical_formula_sum 'Zr4 Cu4 Sn4 Hg4'
_cell_length_a 6.870
_cell_length_b 6.870
_cell_length_c 6.870
_cell_angle_alpha 90.00
_cell_angle_beta 90.00
_cell_angle_gamma 90.00
_space_group_name_H-M_alt 'F -4 3 m'
_space_group_IT_number 216
_space_group_name_Hall 'F -4 2 3'
loop_
_atom_site_label
_atom_site_type_symbol
_atom_site_fract_x
_atom_site_fract_y
_atom_site_fract_z
_atom_site_occupancy
Zr1 Zr 0.000 0.000 0.000 1
Cu1 Cu 0.000 0.000 0.500 1
Sn1 Sn 0.250 0.250 0.250 1
Hg1 Hg 0.250 0.250 0.750 1
```

***

(x)
The following is a DFT calculation (PBE) of an optimized crystal structure of ZrCuSnHg.

Geometry as CIF:
```
data_ZrCuSnHg
_chemical_formula_sum 'Zr4 Cu4 Sn4 Hg4'
_cell_length_a 6.887
_cell_length_b 6.887
_cell_length_c 6.887
_cell_angle_alpha 90.00
_cell_angle_beta 90.00
_cell_angle_gamma 90.00
_space_group_name_H-M_alt 'F -4 3 m'
_space_group_IT_number 216
_space_group_name_Hall 'F -4 2 3'
loop_
_atom_site_label
_atom_site_type_symbol
_atom_site_fract_x
_atom_site_fract_y
_atom_site_fract_z
_atom_site_occupancy
Zr1 Zr 0.000 0.000 0.000 1
Cu1 Cu 0.250 0.250 0.750 1
Sn1 Sn 0.000 0.000 0.500 1
Hg1 Hg 0.250 0.250 0.250 1
```

***

Which structure loses on stability? (x) does.

***

(w)
The following is a DFT calculation (PBE) of an optimized crystal structure of TlCuTcHg.

Geometry as CIF:
```
data_TlCuTcHg
_chemical_formula_sum 'Tl4 Cu4 Tc4 Hg4'
_cell_length_a 6.589
_cell_length_b 6.589
_cell_length_c 6.589
_cell_angle_alpha 90.00
_cell_angle_beta 90.00
_cell_angle_gamma 90.00
_space_group_name_H-M_alt 'F -4 3 m'
_space_group_IT_number 216
_space_group_name_Hall 'F -4 2 3'
loop_
_atom_site_label
_atom_site_type_symbol
_atom_site_fract_x
_atom_site_fract_y
_atom_site_fract_z
_atom_site_occupancy
Tl1 Tl 0.000 0.000 0.000 1
Cu1 Cu 0.250 0.250 0.250 1
Tc1 Tc 0.250 0.250 0.750 1
Hg1 Hg 0.000 0.000 0.500 1
```

***

(x)
The following is a DFT calculation (PBE) of an optimized crystal structure of TlCuTcHg.

Geometry as CIF:
```
data_TlCuTcHg
_chemical_formula_sum 'Tl4 Cu4 Tc4 Hg4'
_cell_length_a 6.735
_cell_length_b 6.735
_cell_length_c 6.735
_cell_angle_alpha 90.00
_cell_angle_beta 90.00
_cell_angle_gamma 90.00
_space_group_name_H-M_alt 'F -4 3 m'
_space_group_IT_number 216
_space_group_name_Hall 'F -4 2 3'
loop_
_atom_site_label
_atom_site_type_symbol
_atom_site_fract_x
_atom_site_fract_y
_atom_site_fract_z
_atom_site_occupancy
Tl1 Tl 0.000 0.000 0.000 1
Cu1 Cu 0.250 0.250 0.250 1
Tc1 Tc 0.000 0.000 0.500 1
Hg1 Hg 0.250 0.250 0.750 1
```

***

Which structure loses on stability? (x) does.

***

(w)
The following is a DFT calculation (PBE) of an optimized crystal structure of ZnCuHgW.

Geometry as CIF:
```
data_ZnCuHgW
_chemical_formula_sum 'Zn4 Cu4 Hg4 W4'
_cell_length_a 6.382
_cell_length_b 6.382
_cell_length_c 6.382
_cell_angle_alpha 90.00
_cell_angle_beta 90.00
_cell_angle_gamma 90.00
_space_group_name_H-M_alt 'F -4 3 m'
_space_group_IT_number 216
_space_group_name_Hall 'F -4 2 3'
loop_
_atom_site_label
_atom_site_type_symbol
_atom_site_fract_x
_atom_site_fract_y
_atom_site_fract_z
_atom_site_occupancy
Zn1 Zn 0.000 0.000 0.000 1
Cu1 Cu 0.250 0.250 0.250 1
Hg1 Hg 0.250 0.250 0.750 1
W1 W 0.000 0.000 0.500 1
```

***

(x)
The following is a DFT calculation (PBE) of an optimized crystal structure of ZnCuHgW.

Geometry as CIF:
```
data_ZnCuHgW
_chemical_formula_sum 'Zn4 Cu4 Hg4 W4'
_cell_length_a 6.378
_cell_length_b 6.378
_cell_length_c 6.378
_cell_angle_alpha 90.00
_cell_angle_beta 90.00
_cell_angle_gamma 90.00
_space_group_name_H-M_alt 'F -4 3 m'
_space_group_IT_number 216
_space_group_name_Hall 'F -4 2 3'
loop_
_atom_site_label
_atom_site_type_symbol
_atom_site_fract_x
_atom_site_fract_y
_atom_site_fract_z
_atom_site_occupancy
Zn1 Zn 0.000 0.000 0.000 1
Cu1 Cu 0.250 0.250 0.250 1
Hg1 Hg 0.000 0.000 0.500 1
W1 W 0.250 0.250 0.750 1
```

***

Which structure loses on stability? (w) does.